Entry 1:
Entry from OQMD: crystalline Tl2ZnInF6 at its relaxed geometry (PBE).

Results
- energy above the most stable polymorph in this dataset (meV per atom) = 33

Cell: 5.9649 5.9649 14.6701 Å, 90.00 90.00 120.00°
Space group R-3 (No. 148, hexagonal axes)
One atom of each set of equivalent atoms:
Tl 0.0000 0.0000 0.2500 x6
Zn 0.0000 0.0000 0.0000 x3
In 0.0000 0.0000 0.5000 x3
F 0.0135 0.5058 0.7462 x18

---

Entry 2:
Entry from OQMD: crystalline ZrTlIn2F6 at its relaxed geometry (PBE).

Results
- total magnetization (μB per formula unit) = 0.00
- uncorrected energy (eV/f.u.) = -50.86

Cell: 9.1620 9.1620 9.1620 Å, 90.00 90.00 90.00°
Space group Fm-3m (No. 225)
One atom of each set of equivalent atoms:
Zr 0.0000 0.0000 0.0000 x4
Tl 0.0000 0.0000 0.5000 x4
In 0.2500 0.2500 0.2500 x8
F 0.0000 0.0000 0.2204 x24

---

Entry 3:
Entry from OQMD: crystalline ZrIn2F6 at its relaxed geometry (PBE).

Results
- total magnetization (μB per formula unit) = 0.00
- uncorrected energy (eV/f.u.) = -49.69

Cell: 6.5882 11.0570 6.8698 Å, 90.00 92.15 90.00°
Space group C2/c (No. 15)
One atom of each set of equivalent atoms:
Zr 0.0000 0.0477 0.2500 x4
In 0.0178 0.3464 0.9942 x8
F 0.0338 0.1032 0.9540 x8
F 0.1886 0.2006 0.2901 x8
F 0.2129 0.4810 0.2767 x8